VASP calculation (PBE) on an optimized crystal structure of Ti2Bi2As.

## Properties
Energy of formation: -139 meV/atom
DOS at the Fermi energy: 1.214 states/eV per atom

abc: 7.2040 7.2040 4.2126
angles: 90.00 90.00 90.00
With the nearest neighbours (Å) after each atom.
Space group P4/mbm (No. 127)
One atom of each set of equivalent atoms:
Ti: 0.1513 0.3487 0.0000 x4  2 As 2.74, 6 Bi 2.89-3.05
Bi: 0.1550 0.6550 0.5000 x4  6 Ti 2.89-3.05, 1 Bi 3.16
As: 0.0000 0.0000 0.0000 x2  4 Ti 2.74


VASP calculation (PBE) on an optimized crystal structure of Ti2BiAs2.

## Properties
Energy of formation: -447 meV/atom
DOS at the Fermi energy: 1.023 states/eV per atom
Energy relative to the lowest polymorph listed for this composition: 11 meV/atom

abc: 4.7626 4.7626 9.0191
angles: 90.00 90.00 90.00
With the nearest neighbours (Å) after each atom.
Space group I4/mmm (No. 139)
One atom of each set of equivalent atoms:
Ti: 0.0000 0.5000 0.2500 x4  4 As 2.58
Bi: 0.0000 0.0000 0.0000 x2  10 As 3.24-3.60, 8 Ti 3.28
As: 0.0000 0.0000 0.3593 x4  1 As 2.54, 4 Ti 2.58


VASP calculation (PBE) on an optimized crystal structure of TiBi4As2.

## Properties
Energy of formation: 397 meV/atom
DOS at the Fermi energy: 0.725 states/eV per atom

abc: 5.6571 5.6571 13.6349
angles: 90.00 90.00 90.00
With the nearest neighbours (Å) after each atom.
Space group I4/mmm (No. 139)
One atom of each set of equivalent atoms:
Ti: 0.0000 0.0000 0.0000 x2  6 Bi 2.71-2.83
Bi: 0.0000 0.0000 0.1991 x4  1 As 2.60, 1 Ti 2.71
Bi: 0.0000 0.5000 0.0000 x4  2 Ti 2.83
As: 0.0000 0.0000 0.3897 x4  1 Bi 2.60


VASP calculation (PBE) on an optimized crystal structure of Ti2BiAs4.

## Properties
Energy of formation: 465 meV/atom
DOS at the Fermi energy: 0.807 states/eV per atom

abc: 5.3320 5.3320 13.1586
angles: 90.00 90.00 90.00
With the nearest neighbours (Å) after each atom.
Space group I4/mmm (No. 139)
One atom of each set of equivalent atoms:
Ti: 0.0000 0.0000 0.0945 x4  1 As 2.34, 1 Ti 2.49
Bi: 0.0000 0.0000 0.5000 x2  4 As 2.67
As: 0.0000 0.0000 0.2725 x4  1 Ti 2.34
As: 0.0000 0.5000 0.0000 x4  2 Bi 2.67, 4 Ti 2.94